AcHg2OsO6 | PBE | optimized geometry

Summary:
Magnetic moment = 0.0 Bohr magnetons per cell
E_tot = -5.861 eV/atom
Uncorrected formation energy = -1247 kJ/mol of formula units

Cell and atoms, written as POSCAR:
```
AcHg2OsO6
1.0
-3.4310 -4.4680 1.8365
-1.2062 -4.5051 -3.6550
2.6395 -5.4997 1.1062
O Hg Os Ac
6 2 1 1
direct
0.2007 0.0032 0.2632 O
0.0031 0.5330 0.2631 O
0.4316 0.6292 0.8398 O
0.5327 0.2008 0.2634 O
0.6292 0.0993 0.8399 O
0.0996 0.4315 0.8397 O
0.0453 0.0452 0.8643 Hg
0.5870 0.5871 0.2388 Hg
0.3162 0.3162 0.0515 Os
0.8162 0.8162 0.5515 Ac
```

***

Rb2NbGaRh | PBE | optimized geometry

Summary:
Magnetic moment = 1.5 Bohr magnetons per cell
E_tot = -2.950 eV/atom

Cell and atoms, written as POSCAR:
```
Rb2NbGaRh
1.0
-1.5849 -3.4762 -5.1585
1.0621 -5.3963 3.3102
-4.8787 -0.0288 1.5184
Ga Rb Nb Rh
1 2 1 1
direct
0.0000 0.0000 0.0000 Ga
0.0000 0.5000 0.0000 Rb
0.5000 0.0000 0.0000 Rb
0.0000 0.0000 0.5000 Nb
0.5000 0.5000 0.5000 Rh
```

***

Zr2TaTe | PBE | optimized geometry

Summary:
Magnetic moment = 0.0 Bohr magnetons per cell
E_tot = -8.140 eV/atom
Uncorrected formation energy = -45 kJ/mol of formula units

Cell and atoms, written as POSCAR:
```
Zr2TaTe
1.0
5.5430 0.0148 0.2292
4.2300 3.5822 0.2292
1.9381 0.7133 4.4067
Te Zr Ta
1 2 1
direct
0.2500 0.2500 0.2500 Te
0.0101 0.0101 0.9901 Zr
0.4899 0.4899 0.5099 Zr
0.7500 0.7500 0.7500 Ta
```

***

DyLu2Zr | PBE | optimized geometry

Summary:
Magnetic moment = 2.1 Bohr magnetons per cell
E_tot = -5.354 eV/atom

Cell and atoms, written as POSCAR:
```
DyLu2Zr
1.0
-0.2222 -4.8719 -2.3577
2.8407 -4.1324 2.0486
-2.5600 -4.0879 2.4655
Dy Lu Zr
1 2 1
direct
0.0000 0.0000 0.0000 Dy
0.2500 0.2500 0.2500 Lu
0.7500 0.7500 0.7500 Lu
0.5000 0.5000 0.5000 Zr
```

***

Ca2Pr | PBE | optimized geometry

Summary:
Magnetic moment = 2.7 Bohr magnetons per cell
E_tot = -2.660 eV/atom

Cell and atoms, written as POSCAR:
```
Ca2Pr
1.0
-2.6131 -0.2330 6.5600
3.4680 -3.5028 5.0616
3.1939 3.5557 5.2031
Ca Pr
4 2
direct
0.6250 0.1250 0.6250 Ca
0.6250 0.6250 0.1250 Ca
0.1250 0.6250 0.6250 Ca
0.6250 0.6250 0.6250 Ca
0.2500 0.2500 0.2500 Pr
0.0000 0.0000 0.0000 Pr
```

***

LiClF3 | PBE | optimized geometry

Summary:
Magnetic moment = 0.0 Bohr magnetons per cell
E_tot = -2.773 eV/atom
Uncorrected formation energy = -433 kJ/mol of formula units

Cell and atoms, written as POSCAR:
```
LiClF3
1.0
-1.5460 -4.0238 -0.3956
2.2148 -0.4884 -3.6869
3.3826 -1.5192 2.2333
F Li Cl
3 1 1
direct
0.0000 0.5000 0.0000 F
0.5000 0.0000 0.0000 F
0.0000 0.0000 0.5000 F
0.5000 0.5000 0.5000 Li
0.0000 0.0000 0.0000 Cl
```

***

Zr6Be23 | PBE | optimized geometry

Summary:
Magnetic moment = 0.5 Bohr magnetons per cell
E_tot = -4.921 eV/atom

Cell and atoms, written as POSCAR:
```
Zr6Be23
1.0
-2.0492 -6.3315 -3.8690
4.7260 -6.0721 -0.2240
-1.8113 -6.4303 3.8245
Zr Be
6 23
direct
0.2063 0.7937 0.2063 Zr
0.2063 0.7937 0.7937 Zr
0.7937 0.7937 0.2063 Zr
0.7937 0.2063 0.7937 Zr
0.2063 0.2063 0.7937 Zr
0.7937 0.2063 0.2063 Zr
0.8223 0.5330 0.8223 Be
0.5330 0.8223 0.8223 Be
0.6281 0.6281 0.6281 Be
0.5000 0.5000 0.5000 Be
0.3719 0.8843 0.3719 Be
0.6281 0.1157 0.6281 Be
0.3719 0.3719 0.8843 Be
0.3719 0.3719 0.3719 Be
0.0000 0.5000 0.5000 Be
0.5000 0.0000 0.0000 Be
0.0000 0.5000 0.0000 Be
0.5000 0.5000 0.0000 Be
0.4670 0.1777 0.1777 Be
0.8223 0.8223 0.5330 Be
0.1157 0.6281 0.6281 Be
0.1777 0.1777 0.1777 Be
0.0000 0.0000 0.5000 Be
0.8843 0.3719 0.3719 Be
0.1777 0.1777 0.4670 Be
0.8223 0.8223 0.8223 Be
0.1777 0.4670 0.1777 Be
0.5000 0.0000 0.5000 Be
0.6281 0.6281 0.1157 Be
```

***

PmGa2Ni2 | PBE | optimized geometry

Summary:
Magnetic moment = 0.0 Bohr magnetons per cell
E_tot = -5.013 eV/atom

Cell and atoms, written as POSCAR:
```
PmGa2Ni2
1.0
4.1204 0.0000 0.0000
0.0000 4.1207 0.0028
-2.0602 -2.0580 5.0538
Ni Ga Pm
2 2 1
direct
0.2500 0.7509 0.5000 Ni
0.7500 0.2491 0.5000 Ni
0.3699 0.3704 0.7398 Ga
0.6301 0.6296 0.2602 Ga
0.0000 0.0000 0.0000 Pm
```

***

Ca2AcAg | PBE | optimized geometry

Summary:
Magnetic moment = 0.0 Bohr magnetons per cell
E_tot = -2.885 eV/atom

Cell and atoms, written as POSCAR:
```
Ca2AcAg
1.0
-3.7582 -5.3809 -0.8815
5.5498 -4.4087 3.2517
-4.5896 1.5729 9.9659
Ca Ag Ac
8 4 4
direct
0.8400 0.3192 0.5583 Ca
0.1600 0.6808 0.0583 Ca
0.6600 0.8192 0.5583 Ca
0.6600 0.8192 0.9417 Ca
0.3400 0.1808 0.0583 Ca
0.1600 0.6808 0.4417 Ca
0.8400 0.3192 0.9417 Ca
0.3400 0.1808 0.4417 Ca
0.8993 0.6061 0.7500 Ag
0.3993 0.8939 0.2500 Ag
0.6007 0.1061 0.7500 Ag
0.1007 0.3939 0.2500 Ag
0.8628 0.0302 0.2500 Ac
0.3628 0.4698 0.7500 Ac
0.1372 0.9698 0.7500 Ac
0.6372 0.5302 0.2500 Ac
```

***

CdAg4Au8 | PBE | optimized geometry

Summary:
Magnetic moment = 0.0 Bohr magnetons per cell
E_tot = -2.711 eV/atom

Cell and atoms, written as POSCAR:
```
CdAg4Au8
1.0
7.4388 0.0000 0.0000
3.7194 6.4422 0.0000
3.7194 2.1474 6.0738
Au Ag Cd
8 4 1
direct
0.6003 0.6003 0.1990 Au
0.6003 0.1990 0.6003 Au
0.1990 0.6003 0.6003 Au
0.0935 0.0935 0.0935 Au
0.0935 0.0935 0.7194 Au
0.7194 0.0935 0.0935 Au
0.0935 0.7194 0.0935 Au
0.6003 0.6003 0.6003 Au
0.3467 0.9600 0.3467 Ag
0.3467 0.3467 0.3467 Ag
0.9600 0.3467 0.3467 Ag
0.3467 0.3467 0.9600 Ag
0.7500 0.7500 0.7500 Cd
```

***

KRb2AgF | PBE | optimized geometry

Summary:
Magnetic moment = 0.0 Bohr magnetons per cell
E_tot = -2.551 eV/atom
Uncorrected formation energy = -483 kJ/mol of formula units

Cell and atoms, written as POSCAR:
```
KRb2AgF
1.0
-3.4741 -4.3993 1.3575
3.5593 -3.6451 -2.7038
2.7384 -0.7416 4.6046
Rb K F Ag
2 1 1 1
direct
0.5000 0.0000 0.0000 Rb
0.0000 0.5000 0.0000 Rb
0.0000 0.0000 0.5000 K
0.0000 0.0000 0.0000 F
0.5000 0.5000 0.5000 Ag
```

***

KMgI3 | PBE | optimized geometry

Summary:
Magnetic moment = 0.0 Bohr magnetons per cell
E_tot = -2.637 eV/atom
Uncorrected formation energy = -564 kJ/mol of formula units

Cell and atoms, written as POSCAR:
```
KMgI3
1.0
-0.1536 3.0438 -3.4256
-9.2414 -0.6423 -0.1565
-0.7430 8.7773 7.8502
I Mg K
6 2 2
direct
0.7476 0.9937 0.6813 I
0.2524 0.4937 0.3187 I
0.2495 0.7500 0.9522 I
0.7476 0.5063 0.6813 I
0.7505 0.2500 0.0478 I
0.2524 0.0063 0.3187 I
0.2505 0.2500 0.1951 Mg
0.7495 0.7500 0.8049 Mg
0.7522 0.7500 0.2231 K
0.2478 0.2500 0.7769 K
```

***

Sr2TbTaO6 | PBE | optimized geometry

Summary:
Magnetic moment = 0.0 Bohr magnetons per cell
E_tot = -8.135 eV/atom
Uncorrected formation energy = -3064 kJ/mol of formula units

Cell and atoms, written as POSCAR:
```
Sr2TbTaO6
1.0
-5.4768 -1.9365 -0.7489
1.7407 -5.4991 1.4895
-1.6433 1.6473 8.0019
O Sr Ta Tb
12 4 2 2
direct
0.1930 0.2260 0.0470 O
0.2261 0.1959 0.4579 O
0.6930 0.2740 0.5470 O
0.7739 0.8041 0.5421 O
0.8070 0.7740 0.9530 O
0.3070 0.7260 0.4530 O
0.0838 0.4736 0.7662 O
0.4162 0.9736 0.7338 O
0.9162 0.5264 0.2338 O
0.7261 0.3041 0.9579 O
0.5838 0.0264 0.2662 O
0.2739 0.6959 0.0421 O
0.4906 0.4617 0.2492 Sr
0.0094 0.9617 0.2508 Sr
0.5094 0.5383 0.7508 Sr
0.9906 0.0383 0.7492 Sr
0.5000 0.0000 0.5000 Ta
0.0000 0.5000 0.0000 Ta
0.0000 0.5000 0.5000 Tb
0.5000 0.0000 0.0000 Tb
```

***

TiVCo | PBE | optimized geometry

Summary:
Magnetic moment = 0.0 Bohr magnetons per cell
E_tot = -8.143 eV/atom

Cell and atoms, written as POSCAR:
```
TiVCo
1.0
-2.4877 1.2166 -1.6438
-1.2291 -3.0060 -0.3646
-5.2562 1.4370 5.8702
V Co Ti
2 2 2
direct
0.8398 0.2911 0.8213 V
0.4051 0.7911 0.6910 V
0.5697 0.7911 0.3614 Co
0.6752 0.2911 0.1509 Co
0.2277 0.7911 0.0453 Ti
0.0171 0.2911 0.4670 Ti
```

***

RbBa2I | PBE | optimized geometry

Summary:
Magnetic moment = 0.0 Bohr magnetons per cell
E_tot = -2.115 eV/atom
Uncorrected formation energy = -202 kJ/mol of formula units

Cell and atoms, written as POSCAR:
```
RbBa2I
1.0
4.5239 0.0000 0.0000
2.2620 3.9178 0.0000
2.2620 1.3059 14.0020
Ba I Rb
2 1 1
direct
0.8939 0.8939 0.3183 Ba
0.1061 0.1061 0.6817 Ba
0.5000 0.5000 0.5000 I
0.0000 0.0000 0.0000 Rb
```

***

RbP2RuCl | PBE | optimized geometry

Summary:
Magnetic moment = 1.9 Bohr magnetons per cell
E_tot = -2.469 eV/atom
Uncorrected formation energy = 1019 kJ/mol of formula units

Cell and atoms, written as POSCAR:
```
RbP2RuCl
1.0
-2.2038 0.8551 4.9652
-3.9191 -3.6968 -1.1028
3.2029 -4.0264 2.1150
Ru P Rb Cl
1 2 1 1
direct
0.5000 0.5000 0.5000 Ru
0.0000 0.5000 0.0000 P
0.5000 0.0000 0.0000 P
0.0000 0.0000 0.0000 Rb
0.0000 0.0000 0.5000 Cl
```

***

BaEuAgPb | PBE | optimized geometry

Summary:
Magnetic moment = 7.0 Bohr magnetons per cell
E_tot = -5.074 eV/atom

Cell and atoms, written as POSCAR:
```
BaEuAgPb
1.0
-1.6786 -3.1985 -4.5021
1.9261 -5.4108 -0.5741
-3.5965 -4.4436 0.7977
Eu Ag Ba Pb
1 1 1 1
direct
0.0000 0.0000 0.0000 Eu
0.2500 0.2500 0.2500 Ag
0.5000 0.5000 0.5000 Ba
0.7500 0.7500 0.7500 Pb
```

***

Co4Re2Pt | PBE | optimized geometry

Summary:
Magnetic moment = 7.5 Bohr magnetons per cell
E_tot = -6.968 eV/atom

Cell and atoms, written as POSCAR:
```
Co4Re2Pt
1.0
4.5300 0.0000 0.0000
0.0000 4.5300 0.0000
2.2650 2.2650 5.9741
Co Pt Re
4 1 2
direct
0.5000 0.0000 0.0000 Co
0.7933 0.7933 0.4134 Co
0.2067 0.2067 0.5866 Co
0.0000 0.5000 0.0000 Co
0.0000 0.0000 0.0000 Pt
0.3981 0.3981 0.2037 Re
0.6019 0.6019 0.7963 Re
```

***

Pm3Pr2HoBi6 | PBE | optimized geometry

Summary:
Magnetic moment = 0.0 Bohr magnetons per cell
E_tot = -5.232 eV/atom

Cell and atoms, written as POSCAR:
```
Pm3Pr2HoBi6
1.0
-1.9896 1.4253 -3.8744
-5.5102 -7.3174 0.1377
-4.1416 6.1204 7.0887
Bi Pr Ho Pm
6 2 1 3
direct
0.6660 0.5851 0.3320 Bi
0.3340 0.4149 0.6680 Bi
0.0019 0.7565 0.0038 Bi
0.6641 0.0787 0.3281 Bi
0.3359 0.9213 0.6719 Bi
0.9981 0.2435 0.9962 Bi
0.1656 0.3320 0.3313 Pr
0.8344 0.6680 0.6687 Pr
0.5000 0.0000 0.0000 Ho
0.5000 0.5000 0.0000 Pm
0.8317 0.1663 0.6635 Pm
0.1683 0.8337 0.3365 Pm
```

***

AcBiSb | PBE | optimized geometry

Summary:
Magnetic moment = 0.0 Bohr magnetons per cell
E_tot = -4.603 eV/atom
Uncorrected formation energy = -164 kJ/mol of formula units

Cell and atoms, written as POSCAR:
```
AcBiSb
1.0
4.4996 0.0000 0.0000
0.0000 4.4996 0.0000
-2.2498 -2.2498 5.3104
Bi Ac Sb
1 1 1
direct
0.9798 0.9798 0.9595 Bi
0.3252 0.3252 0.6504 Ac
0.6950 0.6950 0.3901 Sb
```